1.
# GGA-PBE La2BeGaN, relaxed
data_La2BeGaN
_space_group_name_H-M_alt 'P 4/m m m'
_space_group_IT_number 123
_space_group_name_Hall '-P 4 2'
_cell_length_a 5.4542
_cell_length_b 5.4542
_cell_length_c 3.3179
_cell_angle_alpha 90.00
_cell_angle_beta 90.00
_cell_angle_gamma 90.00
loop_
_atom_site_label
_atom_site_type_symbol
_atom_site_fract_x
_atom_site_fract_y
_atom_site_fract_z
La1 La 0.0000 0.5000 0.0000
Be1 Be 0.0000 0.0000 0.5000
Ga1 Ga 0.5000 0.5000 0.5000
N1 N 0.0000 0.0000 0.0000
# Formation energy (no corrections) ... -678.4 meV per atom
# E_tot ... -5.665 eV per atom



2.
# GGA-PBE CeSmIrPt, relaxed
data_CeSmIrPt
_space_group_name_H-M_alt 'A m m 2'
_space_group_IT_number 38
_space_group_name_Hall 'A 2 -2'
_cell_length_a 4.1981
_cell_length_b 3.8641
_cell_length_c 11.3262
_cell_angle_alpha 90.00
_cell_angle_beta 90.00
_cell_angle_gamma 90.00
loop_
_atom_site_label
_atom_site_type_symbol
_atom_site_fract_x
_atom_site_fract_y
_atom_site_fract_z
Ce1 Ce 0.0000 0.0000 0.0000
Sm1 Sm 0.5000 0.0000 0.2767
Ir1 Ir 0.5000 0.0000 0.5364
Pt1 Pt 0.0000 0.0000 0.7201
# Formation enthalpy at 0 K ... -3.90 eV per formula unit
# E above lowest polymorph ... 0.0000 eV/atom
# E_tot ... -7.363 eV per atom



3.
# GGA-PBE Gd2ZrAu, relaxed
data_Gd2ZrAu
_space_group_name_H-M_alt 'P 4/m m m'
_space_group_IT_number 123
_space_group_name_Hall '-P 4 2'
_cell_length_a 3.4864
_cell_length_b 3.4864
_cell_length_c 8.4624
_cell_angle_alpha 90.00
_cell_angle_beta 90.00
_cell_angle_gamma 90.00
loop_
_atom_site_label
_atom_site_type_symbol
_atom_site_fract_x
_atom_site_fract_y
_atom_site_fract_z
Gd1 Gd 0.0000 0.0000 0.2291
Zr1 Zr 0.5000 0.5000 0.5000
Au1 Au 0.5000 0.5000 0.0000
# Formation enthalpy at 0 K ... -1.36 eV per formula unit
# E_tot ... -10.336 eV per atom